(1)
# MgAl2ZnPd2 PBE relaxed
# D(E_F)	2.87	states/eV/cell
data_MgAl2ZnPd2
_chemical_formula_sum 'Mg1 Al2 Zn1 Pd2'
_space_group_name_H-M_alt 'P -3 m 1'
_space_group_IT_number 164
_space_group_name_Hall '-P 3 2"'
_cell_length_a 4.4059
_cell_length_b 4.4059
_cell_length_c 5.4463
_cell_angle_alpha 90.00
_cell_angle_beta 90.00
_cell_angle_gamma 120.00
loop_
_atom_site_label
_atom_site_fract_x
_atom_site_fract_y
_atom_site_fract_z
Mg1 0.0000 0.0000 0.0000
Al1 0.3333 0.6667 0.6888
Zn1 0.0000 0.0000 0.5000
Pd1 0.3333 0.6667 0.1998

***

(2)
# TlZnGaPb PBE relaxed
# D(E_F)	7.07	states/eV/cell
data_TlZnGaPb
_chemical_formula_sum 'Tl4 Zn4 Ga4 Pb4'
_space_group_name_H-M_alt 'F -4 3 m'
_space_group_IT_number 216
_space_group_name_Hall 'F -4 2 3'
_cell_length_a 7.358
_cell_length_b 7.358
_cell_length_c 7.358
_cell_angle_alpha 90.00
_cell_angle_beta 90.00
_cell_angle_gamma 90.00
loop_
_atom_site_label
_atom_site_fract_x
_atom_site_fract_y
_atom_site_fract_z
Tl1 0.000 0.000 0.000
Zn1 0.250 0.250 0.250
Ga1 0.250 0.250 0.750
Pb1 0.000 0.000 0.500

***

Number 1: calculated formation energy -0.5676 eV per atom, raw total energy -4.024 eV per atom. Number 2: calculated formation energy 0.1230 eV per atom, raw total energy -2.471 eV per atom.